[1]
Computed, not measured: a relaxed K2LiRh2 crystal at the PBE level of DFT.

CIF file:
```
data_K2LiRh2
_chemical_formula_sum 'K4 Li2 Rh4'
_symmetry_space_group_name_H-M 'P 4/m b m'
_symmetry_Int_Tables_number 127
_symmetry_space_group_name_Hall '-P 4 2ab'
_cell_length_a 9.7755
_cell_length_b 9.7755
_cell_length_c 2.8228
_cell_angle_alpha 90.00
_cell_angle_beta 90.00
_cell_angle_gamma 90.00
loop_
_atom_site_label
_atom_site_type_symbol
_atom_site_fract_x
_atom_site_fract_y
_atom_site_fract_z
_atom_site_occupancy
K1 K 0.1949 0.3051 0.0000 1
Li1 Li 0.0000 0.0000 0.5000 1
Rh1 Rh 0.0870 0.5870 0.5000 1
```

V = 269.7 Å³ per cell
total energy = -3.057 eV/atom
DFT formation energy = 705 meV per atom
energy above the most stable polymorph in this dataset = 0.000 eV/atom



[2]
Computed, not measured: a relaxed KLiRh2 crystal at the PBE level of DFT.

CIF file:
```
data_KLiRh2
_chemical_formula_sum 'K1 Li1 Rh2'
_symmetry_space_group_name_H-M 'P 4/m m m'
_symmetry_Int_Tables_number 123
_symmetry_space_group_name_Hall '-P 4 2'
_cell_length_a 2.7211
_cell_length_b 2.7211
_cell_length_c 9.3034
_cell_angle_alpha 90.00
_cell_angle_beta 90.00
_cell_angle_gamma 90.00
loop_
_atom_site_label
_atom_site_type_symbol
_atom_site_fract_x
_atom_site_fract_y
_atom_site_fract_z
_atom_site_occupancy
K1 K 0.0000 0.0000 0.0000 1
Li1 Li 0.0000 0.0000 0.5000 1
Rh1 Rh 0.5000 0.5000 0.2903 1
```

V = 68.9 Å³ per cell
total energy = -3.995 eV/atom
DFT formation energy = 434 meV per atom
energy above the most stable polymorph in this dataset = 0.214 eV/atom



[3]
Computed, not measured: a relaxed KLiRh2 crystal at the PBE level of DFT.

CIF file:
```
data_KLiRh2
_chemical_formula_sum 'K2 Li2 Rh4'
_symmetry_space_group_name_H-M 'I m m m'
_symmetry_Int_Tables_number 71
_symmetry_space_group_name_Hall '-I 2 2'
_cell_length_a 2.7693
_cell_length_b 4.7336
_cell_length_c 10.2438
_cell_angle_alpha 90.00
_cell_angle_beta 90.00
_cell_angle_gamma 90.00
loop_
_atom_site_label
_atom_site_type_symbol
_atom_site_fract_x
_atom_site_fract_y
_atom_site_fract_z
_atom_site_occupancy
K1 K 0.0000 0.0000 0.0000 1
Li1 Li 0.0000 0.0000 0.5000 1
Rh1 Rh 0.0000 0.5000 0.2253 1
```

V = 134.3 Å³ per cell
total energy = -4.094 eV/atom
DFT formation energy = 335 meV per atom
energy above the most stable polymorph in this dataset = 0.115 eV/atom